(1)
This record from Alexandria describes a relaxed Li2MoIr crystal. The functional is PBE.

Cell lengths 2.706, 4.177, 5.366 Å; angles 90.00, 99.84, 90.00 degrees
Positions (direct):
Li 0.000 0.000 0.000
Li 0.335 0.500 0.825
Mo 0.791 0.500 0.350
Ir 0.371 0.000 0.514

Output
Fermi-level density of states (states/eV per atom): 0.619
Raw total energy (eV per atom): -5.845
M_tot (μB per cell): 0.00
Energy relative to the elements (kcal/mol of atoms): 0.8

(2)
This record from Alexandria describes a relaxed LiMo2Ir crystal. The functional is PBE.

Cell lengths 5.028, 5.028, 2.700 Å; angles 96.75, 96.75, 118.10 degrees
Positions (direct):
Li 0.000 0.000 0.000
Mo 0.000 0.500 0.500
Mo 0.500 0.000 0.500
Ir 0.500 0.500 0.000

Output
Fermi-level density of states (states/eV per atom): 0.698
Raw total energy (eV per atom): -8.019
M_tot (μB per cell): 0.00
Energy relative to the elements (kcal/mol of atoms): 2.1

(3)
This record from Alexandria describes a relaxed LiMo3Ir crystal. The functional is PBE.

Cell lengths 4.794, 4.794, 4.794 Å; angles 90.00, 90.00, 90.00 degrees
Positions (direct):
Li 0.000 0.000 0.000
Mo 0.000 0.500 0.500
Mo 0.500 0.000 0.500
Mo 0.500 0.500 0.000
Ir 0.500 0.500 0.500

Output
Fermi-level density of states (states/eV per atom): 1.393
Raw total energy (eV per atom): -7.124
M_tot (μB per cell): 1.53
Energy relative to the elements (kcal/mol of atoms): 35.3

Among the records above, which one has the highest raw total energy?
Li2MoIr

raw total energy of number 1 (Li2MoIr)?
-5.845 eV per atom

What is the raw total energy in the first record?
-5.845 eV per atom